(1)
# Ac4ThPa3N8 | Alexandria | GGA-PBE | optimized geometry
data_Ac4ThPa3N8
_chemical_formula_sum 'Ac4 Th1 Pa3 N8'
_cell_length_a 7.489
_cell_length_b 7.489
_cell_length_c 7.489
_cell_angle_alpha 58.67
_cell_angle_beta 58.67
_cell_angle_gamma 58.67
_symmetry_space_group_name_H-M 'P 1'
_symmetry_Int_Tables_number 1
loop_
_symmetry_equiv_pos_as_xyz
'x,y,z'
loop_
_atom_site_label
_atom_site_fract_x
_atom_site_fract_y
_atom_site_fract_z
Ac1 0.000 0.000 0.000
Ac2 0.000 0.500 0.500
Ac3 0.500 0.000 0.500
Ac4 0.500 0.500 0.000
Th1 0.500 0.500 0.500
Pa1 0.000 0.000 0.500
Pa2 0.000 0.500 0.000
Pa3 0.500 0.000 0.000
N1 0.213 0.738 0.738
N2 0.229 0.229 0.229
N3 0.262 0.262 0.787
N4 0.262 0.787 0.262
N5 0.738 0.213 0.738
N6 0.738 0.738 0.213
N7 0.771 0.771 0.771
N8 0.787 0.262 0.262
# Raw formation energy in eV/f.u.: -22.821



(2)
# PuZn10Au2 | Alexandria | GGA-PBE | optimized geometry
data_PuZn10Au2
_chemical_formula_sum 'Pu1 Zn10 Au2'
_cell_length_a 8.980
_cell_length_b 6.910
_cell_length_c 6.908
_cell_angle_alpha 81.07
_cell_angle_beta 49.48
_cell_angle_gamma 49.46
_symmetry_space_group_name_H-M 'P 1'
_symmetry_Int_Tables_number 1
loop_
_symmetry_equiv_pos_as_xyz
'x,y,z'
loop_
_atom_site_label
_atom_site_fract_x
_atom_site_fract_y
_atom_site_fract_z
Pu1 0.000 0.000 0.000
Zn1 0.000 0.000 0.500
Zn2 0.005 0.646 0.354
Zn3 0.286 0.505 0.495
Zn4 0.354 0.995 0.005
Zn5 0.495 0.714 0.286
Zn6 0.500 0.500 0.000
Zn7 0.505 0.286 0.714
Zn8 0.646 0.005 0.995
Zn9 0.714 0.495 0.505
Zn10 0.995 0.354 0.646
Au1 0.000 0.500 0.000
Au2 0.500 0.000 0.500
# Energy of formation from the pure elements in eV per formula unit: -1.65



(3)
# KRbTc2Sb | Alexandria | GGA-PBE | optimized geometry
data_KRbTc2Sb
_chemical_formula_sum 'K1 Rb1 Tc2 Sb1'
_cell_length_a 5.113
_cell_length_b 5.113
_cell_length_c 6.513
_cell_angle_alpha 90.00
_cell_angle_beta 90.00
_cell_angle_gamma 90.00
_symmetry_space_group_name_H-M 'P 1'
_symmetry_Int_Tables_number 1
loop_
_symmetry_equiv_pos_as_xyz
'x,y,z'
loop_
_atom_site_label
_atom_site_fract_x
_atom_site_fract_y
_atom_site_fract_z
K1 0.000 0.000 0.000
Rb1 0.500 0.500 0.000
Tc1 0.000 0.500 0.500
Tc2 0.500 0.000 0.500
Sb1 0.500 0.500 0.500
# Raw formation energy in eV/f.u.: 6.094



(4)
# TaCr2TcSe | Alexandria | GGA-PBE | optimized geometry
data_TaCr2TcSe
_chemical_formula_sum 'Ta1 Cr2 Tc1 Se1'
_cell_length_a 4.641
_cell_length_b 4.641
_cell_length_c 4.844
_cell_angle_alpha 90.00
_cell_angle_beta 90.00
_cell_angle_gamma 90.00
_symmetry_space_group_name_H-M 'P 1'
_symmetry_Int_Tables_number 1
loop_
_symmetry_equiv_pos_as_xyz
'x,y,z'
loop_
_atom_site_label
_atom_site_fract_x
_atom_site_fract_y
_atom_site_fract_z
Ta1 0.000 0.000 0.000
Cr1 0.000 0.500 0.500
Cr2 0.500 0.000 0.500
Tc1 0.000 0.000 0.500
Se1 0.500 0.500 0.000
# Raw formation energy in eV/f.u.: 6.104



(5)
# Rb2SbPbSe | Alexandria | GGA-PBE | optimized geometry
data_Rb2SbPbSe
_chemical_formula_sum 'Rb2 Sb1 Pb1 Se1'
_cell_length_a 7.223
_cell_length_b 7.223
_cell_length_c 5.300
_cell_angle_alpha 90.00
_cell_angle_beta 90.00
_cell_angle_gamma 90.00
_symmetry_space_group_name_H-M 'P 1'
_symmetry_Int_Tables_number 1
loop_
_symmetry_equiv_pos_as_xyz
'x,y,z'
loop_
_atom_site_label
_atom_site_fract_x
_atom_site_fract_y
_atom_site_fract_z
Rb1 0.000 0.500 0.000
Rb2 0.500 0.000 0.000
Sb1 0.000 0.000 0.000
Pb1 0.500 0.500 0.500
Se1 0.000 0.000 0.500
# Raw formation energy in eV/f.u.: 0.595



(6)
# LaCdTc2 | Alexandria | GGA-PBE | optimized geometry
data_LaCdTc2
_chemical_formula_sum 'La1 Cd1 Tc2'
_cell_length_a 3.026
_cell_length_b 4.340
_cell_length_c 6.500
_cell_angle_alpha 90.00
_cell_angle_beta 90.00
_cell_angle_gamma 90.00
_symmetry_space_group_name_H-M 'P 1'
_symmetry_Int_Tables_number 1
loop_
_symmetry_equiv_pos_as_xyz
'x,y,z'
loop_
_atom_site_label
_atom_site_fract_x
_atom_site_fract_y
_atom_site_fract_z
La1 0.000 0.000 0.000
Cd1 0.000 0.000 0.500
Tc1 0.500 0.500 0.323
Tc2 0.500 0.500 0.677
# Energy of formation from the pure elements in eV per formula unit: 1.98



(7)
# BaPdBr2 | Alexandria | GGA-PBE | optimized geometry
data_BaPdBr2
_chemical_formula_sum 'Ba2 Pd2 Br4'
_cell_length_a 9.473
_cell_length_b 9.473
_cell_length_c 9.473
_cell_angle_alpha 145.45
_cell_angle_beta 145.45
_cell_angle_gamma 49.66
_symmetry_space_group_name_H-M 'P 1'
_symmetry_Int_Tables_number 1
loop_
_symmetry_equiv_pos_as_xyz
'x,y,z'
loop_
_atom_site_label
_atom_site_fract_x
_atom_site_fract_y
_atom_site_fract_z
Ba1 0.000 0.000 0.000
Ba2 0.750 0.250 0.500
Pd1 0.250 0.750 0.500
Pd2 0.500 0.500 0.000
Br1 0.193 0.625 0.068
Br2 0.375 0.443 0.568
Br3 0.557 0.125 0.932
Br4 0.875 0.807 0.432
# Raw formation energy in eV/f.u.: -4.228
# Relative energy among the computed polymorphs in meV/atom: 34



(8)
# KLi2ReBr8 | Alexandria | GGA-PBE | optimized geometry
data_KLi2ReBr8
_chemical_formula_sum 'K1 Li2 Re1 Br8'
_cell_length_a 6.445
_cell_length_b 7.432
_cell_length_c 9.045
_cell_angle_alpha 69.60
_cell_angle_beta 82.78
_cell_angle_gamma 83.94
_symmetry_space_group_name_H-M 'P 1'
_symmetry_Int_Tables_number 1
loop_
_symmetry_equiv_pos_as_xyz
'x,y,z'
loop_
_atom_site_label
_atom_site_fract_x
_atom_site_fract_y
_atom_site_fract_z
K1 0.000 0.000 0.000
Li1 0.473 0.514 0.832
Li2 0.527 0.486 0.168
Re1 0.000 0.500 0.500
Br1 0.079 0.482 0.773
Br2 0.156 0.816 0.384
Br3 0.348 0.332 0.461
Br4 0.459 0.779 0.938
Br5 0.541 0.221 0.062
Br6 0.652 0.668 0.539
Br7 0.844 0.184 0.616
Br8 0.921 0.518 0.227
# Raw formation energy in eV/f.u.: -10.626



| no. | DFT total energy (eV per atom) | Fermi-level density of states (states/eV per atom) |
| --- | --- | --- |
| 1 | -8.860 | 0.36 |
| 2 | -2.714 | 1.07 |
| 3 | -4.165 | 1.14 |
| 4 | -7.769 | 1.04 |
| 5 | -2.531 | 0.74 |
| 6 | -6.148 | 1.25 |
| 7 | -3.672 | 0.00 |
| 8 | -3.449 | 0.57 |